1.
A relaxed VFeHgSe2 crystal. Source: Alexandria, functional PBE-GGA.

As for the uncorrected formation energy: 396 meV/atom. For the density of states at the Fermi level, the calculation gives 7.4 states/eV per cell.

Cell and atoms, written as CIF:
```
data_VFeHgSe2
_space_group_name_H-M_alt 'P 4/m m m'
_space_group_IT_number 123
_space_group_name_Hall '-P 4 2'
_cell_length_a 4.7376
_cell_length_b 4.7376
_cell_length_c 4.9959
_cell_angle_alpha 90.00
_cell_angle_beta 90.00
_cell_angle_gamma 90.00
loop_
_atom_site_label
_atom_site_fract_x
_atom_site_fract_y
_atom_site_fract_z
V1 0.0000 0.0000 0.0000
Fe1 0.0000 0.0000 0.5000
Hg1 0.5000 0.5000 0.5000
Se1 0.0000 0.5000 0.0000
```

---

2.
A relaxed FeHg2WSe crystal. Source: Alexandria, functional PBE-GGA.

As for the uncorrected formation energy: 1144 meV/atom. For the density of states at the Fermi level, the calculation gives 9.6 states/eV per cell.

Cell and atoms, written as CIF:
```
data_FeHg2WSe
_space_group_name_H-M_alt 'P 4/m m m'
_space_group_IT_number 123
_space_group_name_Hall '-P 4 2'
_cell_length_a 5.4338
_cell_length_b 5.4338
_cell_length_c 4.6889
_cell_angle_alpha 90.00
_cell_angle_beta 90.00
_cell_angle_gamma 90.00
loop_
_atom_site_label
_atom_site_fract_x
_atom_site_fract_y
_atom_site_fract_z
Fe1 0.0000 0.0000 0.0000
Hg1 0.0000 0.5000 0.5000
W1 0.5000 0.5000 0.5000
Se1 0.5000 0.5000 0.0000
```

---

3.
A relaxed Fe3SiHg crystal. Source: Alexandria, functional PBE-GGA.

As for the uncorrected formation energy: 1733 meV/atom. For the density of states at the Fermi level, the calculation gives 10.5 states/eV per cell. The value obtained for the energy above the most stable polymorph in this dataset is 1131 meV per atom.

Cell and atoms, written as CIF:
```
data_Fe3SiHg
_space_group_name_H-M_alt 'P m -3 m'
_space_group_IT_number 221
_space_group_name_Hall '-P 4 2 3'
_cell_length_a 4.8081
_cell_length_b 4.8081
_cell_length_c 4.8081
_cell_angle_alpha 90.00
_cell_angle_beta 90.00
_cell_angle_gamma 90.00
loop_
_atom_site_label
_atom_site_fract_x
_atom_site_fract_y
_atom_site_fract_z
Fe1 0.0000 0.0000 0.5000
Si1 0.5000 0.5000 0.5000
Hg1 0.0000 0.0000 0.0000
```

---

4.
A relaxed FeSi2Hg crystal. Source: Alexandria, functional PBE-GGA.

As for the uncorrected formation energy: 260 meV/atom. For the density of states at the Fermi level, the calculation gives 1.6 states/eV per cell.

Cell and atoms, written as CIF:
```
data_FeSi2Hg
_space_group_name_H-M_alt 'P 4 m m'
_space_group_IT_number 99
_space_group_name_Hall 'P 4 -2'
_cell_length_a 2.9388
_cell_length_b 2.9388
_cell_length_c 7.4928
_cell_angle_alpha 90.00
_cell_angle_beta 90.00
_cell_angle_gamma 90.00
loop_
_atom_site_label
_atom_site_fract_x
_atom_site_fract_y
_atom_site_fract_z
Fe1 0.0000 0.0000 0.0000
Si1 0.0000 0.0000 0.6593
Si2 0.5000 0.5000 0.8653
Hg1 0.5000 0.5000 0.2745
```